Entry 1:
A geometry-optimized Sc4GePbS8 structure, computed with PBE.

## Properties
Total magnetization = 0.00 Bohr magnetons per cell
Energy relative to the elements, uncorrected = -1.388 eV per atom
Symmetry = No. 160

The structure in POSCAR format:
```
Sc4GePbS8
1.0
7.7273 0.0000 0.0000
3.8637 6.6921 0.0000
3.8637 2.2307 6.5168
S Sc Pb Ge
8 4 1 1
direct
0.7471 0.7471 0.2721 S
0.2378 0.2378 0.7227 S
0.7565 0.7565 0.7306 S
0.2315 0.2315 0.3055 S
0.2336 0.7471 0.2721 S
0.2378 0.8016 0.7227 S
0.7471 0.2336 0.2721 S
0.8016 0.2378 0.7227 S
0.4998 0.0008 0.4987 Sc
0.0008 0.0008 0.4987 Sc
0.6229 0.6229 0.1312 Sc
0.0008 0.4998 0.4987 Sc
0.3723 0.3723 0.8830 Pb
0.0103 0.0103 0.9692 Ge
```


Entry 2:
A geometry-optimized Sm6Ge3PbS2 structure, computed with PBE.

## Properties
Total magnetization = 0.00 Bohr magnetons per cell
Energy relative to the elements, uncorrected = -1.141 eV per atom
Symmetry = No. 12

The structure in POSCAR format:
```
Sm6Ge3PbS2
1.0
4.1486 0.0000 0.0000
0.0000 8.5991 0.5059
-2.0743 -2.2710 8.8102
Sm S Ge Pb
6 2 3 1
direct
0.6757 0.1001 0.3514 Sm
0.3332 0.4142 0.6663 Sm
0.6668 0.5858 0.3337 Sm
0.9933 0.7267 0.9866 Sm
0.0067 0.2733 0.0134 Sm
0.3243 0.8999 0.6486 Sm
0.1708 0.3431 0.3416 S
0.8292 0.6569 0.6584 S
0.8382 0.1626 0.6764 Ge
0.1618 0.8374 0.3236 Ge
0.5000 0.5000 0.0000 Ge
0.5000 0.0000 0.0000 Pb
```


Entry 3:
A geometry-optimized SnGe2PbS6 structure, computed with PBE.

## Properties
Total magnetization = 0.00 Bohr magnetons per cell
Energy relative to the elements, uncorrected = -0.326 eV per atom
Symmetry = No. 15

The structure in POSCAR format:
```
SnGe2PbS6
1.0
6.9149 -0.1776 -0.1843
1.9945 8.6196 0.3779
1.9945 0.0582 8.6277
Ge S Sn Pb
4 12 2 2
direct
0.7423 0.1990 0.3738 Ge
0.2423 0.3738 0.1990 Ge
0.7577 0.6262 0.8010 Ge
0.2577 0.8010 0.6262 Ge
0.1806 0.9880 0.7915 S
0.1228 0.6022 0.1012 S
0.3772 0.8988 0.3978 S
0.8194 0.0120 0.2085 S
0.9908 0.6943 0.5920 S
0.0092 0.3057 0.4080 S
0.6806 0.7915 0.9880 S
0.6228 0.1012 0.6022 S
0.8772 0.3978 0.8988 S
0.4908 0.5920 0.6943 S
0.3194 0.2085 0.0120 S
0.5092 0.4080 0.3057 S
0.7500 0.7010 0.2990 Sn
0.2500 0.2990 0.7010 Sn
0.2500 0.8861 0.1139 Pb
0.7500 0.1139 0.8861 Pb
```


Entry 4:
A geometry-optimized Sr2GePbS4 structure, computed with PBE.

## Properties
Total magnetization = 0.00 Bohr magnetons per cell
Energy relative to the elements, uncorrected = -1.200 eV per atom
Symmetry = No. 10

The structure in POSCAR format:
```
Sr2GePbS4
1.0
-3.7768 0.9515 1.5444
-0.8409 -6.8631 2.1723
2.5761 -0.7395 6.7557
Ge S Sr Pb
1 4 2 1
direct
0.5000 0.5000 0.0000 Ge
0.0000 0.7380 0.7641 S
0.5000 0.2543 0.7591 S
0.5000 0.7457 0.2409 S
0.0000 0.2620 0.2359 S
0.0000 0.0000 0.0000 Sr
0.5000 0.0000 0.5000 Sr
0.0000 0.5000 0.5000 Pb
```


Entry 5:
A geometry-optimized TaGePbS2 structure, computed with PBE.

## Properties
Total magnetization = 0.00 Bohr magnetons per cell
Energy relative to the elements, uncorrected = 1.564 eV per atom
Symmetry = No. 123

The structure in POSCAR format:
```
TaGePbS2
1.0
-1.2518 -4.8626 0.3324
2.4504 -0.9396 -4.5158
4.2640 -0.9264 2.5065
Ge Ta Pb S
1 1 1 2
direct
0.0000 0.5000 0.0000 Ge
0.5000 0.5000 0.5000 Ta
0.0000 0.0000 0.0000 Pb
0.0000 0.0000 0.5000 S
0.5000 0.0000 0.0000 S
```


Entry 6:
A geometry-optimized Tb3GePbS structure, computed with PBE.

## Properties
Total magnetization = 0.00 Bohr magnetons per cell
Energy relative to the elements, uncorrected = -0.950 eV per atom
Symmetry = No. 11

The structure in POSCAR format:
```
Tb3GePbS
1.0
-2.3395 -4.3773 -0.3583
2.5677 -1.8731 6.1179
-8.3417 4.3067 1.8513
Ge Pb Tb S
2 2 6 2
direct
0.7500 0.3121 0.8694 Ge
0.2500 0.6879 0.1306 Ge
0.7500 0.7657 0.7344 Pb
0.2500 0.2343 0.2656 Pb
0.7500 0.2299 0.5317 Tb
0.2500 0.7701 0.4683 Tb
0.2500 0.0794 0.8818 Tb
0.7500 0.9206 0.1182 Tb
0.7500 0.4647 0.1776 Tb
0.2500 0.5353 0.8224 Tb
0.7500 0.8355 0.3846 S
0.2500 0.1645 0.6154 S
```


Entry 7:
A geometry-optimized TlGePbS3 structure, computed with PBE.

## Properties
Total magnetization = 0.00 Bohr magnetons per cell
Energy relative to the elements, uncorrected = -0.336 eV per atom
Symmetry = No. 11

The structure in POSCAR format:
```
TlGePbS3
1.0
4.4830 0.0000 0.0000
0.0000 8.9552 0.5793
0.0000 -1.7473 9.1517
S Ge Tl Pb
6 2 2 2
direct
0.2500 0.6034 0.8661 S
0.7500 0.3966 0.1339 S
0.2500 0.8418 0.4983 S
0.7500 0.8645 0.1716 S
0.2500 0.1355 0.8284 S
0.7500 0.1582 0.5017 S
0.2500 0.1052 0.5889 Ge
0.7500 0.8948 0.4111 Ge
0.7500 0.8350 0.8261 Tl
0.2500 0.1650 0.1739 Tl
0.2500 0.6150 0.1548 Pb
0.7500 0.3850 0.8452 Pb
```


Entry 8:
A geometry-optimized Tl2GePbS4 structure, computed with PBE.

## Properties
Distance to the lowest polymorph of the same formula = 0.055 eV/atom
Total magnetization = 0.00 Bohr magnetons per cell
Energy relative to the elements, uncorrected = -0.405 eV per atom
Symmetry = No. 31

The structure in POSCAR format:
```
Tl2GePbS4
1.0
-6.0387 1.0429 -0.7652
-1.5977 -2.7810 8.8180
1.0414 8.0255 2.7197
Ge Pb Tl S
2 2 4 8
direct
0.0161 0.1800 0.0000 Ge
0.5161 0.8200 0.5000 Ge
0.9615 0.1002 0.5000 Pb
0.4615 0.8998 0.0000 Pb
0.9371 0.6538 0.7931 Tl
0.4371 0.3462 0.7069 Tl
0.9371 0.6538 0.2069 Tl
0.4371 0.3462 0.2931 Tl
0.9310 0.9467 0.0000 S
0.4171 0.7078 0.7197 S
0.3828 0.1927 0.0000 S
0.9171 0.2922 0.7803 S
0.8828 0.8073 0.5000 S
0.4171 0.7078 0.2803 S
0.9171 0.2922 0.2197 S
0.4310 0.0533 0.5000 S
```


Entry 9:
A geometry-optimized Tl2GePbS4 structure, computed with PBE.

## Properties
Distance to the lowest polymorph of the same formula = 0.000 eV/atom
Total magnetization = 0.00 Bohr magnetons per cell
Energy relative to the elements, uncorrected = -0.460 eV per atom
Symmetry = No. 14

The structure in POSCAR format:
```
Tl2GePbS4
1.0
-8.1430 2.9362 -3.4163
-2.6117 -8.7655 -1.3083
-4.4052 -0.9118 9.7165
S Tl Ge Pb
16 8 4 4
direct
0.9731 0.3187 0.0835 S
0.9415 0.9792 0.2964 S
0.4756 0.1648 0.5763 S
0.5269 0.8187 0.0835 S
0.5585 0.4792 0.2964 S
0.4415 0.5208 0.7036 S
0.0269 0.6813 0.9165 S
0.9756 0.3352 0.4237 S
0.4731 0.1813 0.9165 S
0.0244 0.6648 0.5763 S
0.2247 0.6751 0.2703 S
0.7753 0.3249 0.7297 S
0.5244 0.8352 0.4237 S
0.0585 0.0208 0.7036 S
0.7247 0.8249 0.7297 S
0.2753 0.1751 0.2703 S
0.6087 0.0748 0.2305 Tl
0.3089 0.4169 0.0614 Tl
0.6911 0.5831 0.9386 Tl
0.8089 0.0831 0.9386 Tl
0.1911 0.9169 0.0614 Tl
0.8913 0.5748 0.2305 Tl
0.3913 0.9252 0.7695 Tl
0.1087 0.4252 0.7695 Tl
0.9671 0.7977 0.7368 Ge
0.5329 0.2977 0.7368 Ge
0.4671 0.7023 0.2632 Ge
0.0329 0.2023 0.2632 Ge
0.8128 0.1114 0.5538 Pb
0.6872 0.6114 0.5538 Pb
0.1872 0.8886 0.4462 Pb
0.3128 0.3886 0.4462 Pb
```


Entry 10:
A geometry-optimized Tm4GePbS2 structure, computed with PBE.

## Properties
Total magnetization = 0.00 Bohr magnetons per cell
Energy relative to the elements, uncorrected = -1.233 eV per atom
Symmetry = No. 10

The structure in POSCAR format:
```
Tm4GePbS2
1.0
3.9912 0.0000 0.0000
0.0000 7.0971 -0.1804
0.0000 2.4603 6.6318
S Tm Ge Pb
2 4 1 1
direct
0.0000 0.0000 0.0000 S
0.5000 0.0000 0.5000 S
0.5000 0.7557 0.2593 Tm
0.5000 0.2443 0.7407 Tm
0.0000 0.7689 0.7292 Tm
0.0000 0.2311 0.2708 Tm
0.0000 0.5000 0.5000 Ge
0.5000 0.5000 0.0000 Pb
```


Entry 11:
A geometry-optimized VGePbS2 structure, computed with PBE.

## Properties
Total magnetization = 0.00 Bohr magnetons per cell
Energy relative to the elements, uncorrected = 0.085 eV per atom
Symmetry = No. 123

The structure in POSCAR format:
```
VGePbS2
1.0
4.4499 0.0000 0.0000
0.0000 5.7835 0.0000
0.0000 0.0000 4.4499
S Ge V Pb
2 1 1 1
direct
0.5000 0.0000 0.0000 S
0.0000 0.0000 0.5000 S
0.5000 0.5000 0.5000 Ge
0.0000 0.0000 0.0000 V
0.0000 0.5000 0.0000 Pb
```


Entry 12:
A geometry-optimized VGePb2S structure, computed with PBE.

## Properties
Total magnetization = 3.96 Bohr magnetons per cell
Energy relative to the elements, uncorrected = 0.894 eV per atom
Symmetry = No. 123

The structure in POSCAR format:
```
VGePb2S
1.0
-1.9970 -4.0007 3.2958
-2.6138 -2.2729 -4.3426
3.7730 -2.6232 -0.8980
Pb Ge S V
2 1 1 1
direct
0.0000 0.5000 0.0000 Pb
0.5000 0.0000 0.0000 Pb
0.0000 0.0000 0.0000 Ge
0.0000 0.0000 0.5000 S
0.5000 0.5000 0.5000 V
```


Question: Which formula does entry 2 have?
Answer: Sm6Ge3PbS2